{
  "formula": "CaBPd2Ru",
  "functional": "PBE",
  "state": "relaxed",
  "relative_energy_mev_per_atom": 644,
  "e_form_mev_per_atom": 300,
  "volume_a3_per_cell": 83.1,
  "space_group": "No. 123",
  "magnetic_moment_mub_per_fu": 1.20,
  "lattice_angstrom": [[-0.819, -2.237, -3.339], [-3.721, -2.198, 2.386], [-2.568, 2.912, -1.321]],
  "species": ["Pd", "Pd", "Ca", "Ru", "B"],
  "fractional_positions": [[0.500, 0.000, 0.000], [0.000, 0.000, 0.500], [0.000, 0.500, 0.000], [0.500, 0.500, 0.500], [0.000, 0.000, 0.000]]
}